# 1
A relaxed La2IrRu crystal, computed with PBE.

Results
DOS(E_F) (states/eV/f.u.): 2.642
Total energy (eV/cell): -28.41

Geometry as POSCAR:
```
La2IrRu
1.0
1.965 1.135 7.512
-1.965 1.135 7.512
0.000 -2.269 7.512
La Ir Ru
2 1 1
Direct
0.246 0.246 0.246
0.754 0.754 0.754
0.500 0.500 0.500
0.000 0.000 0.000
```

=====

# 2
A relaxed Ca3TaAs crystal, computed with PBE.

Results
DOS(E_F) (states/eV/f.u.): 5.642
Total energy (eV/cell): -17.36

Geometry as POSCAR:
```
Ca3TaAs
1.0
5.481 0.000 0.000
0.000 5.481 0.000
0.000 0.000 5.481
Ca Ta As
3 1 1
Direct
0.000 0.000 0.500
0.000 0.500 0.000
0.500 0.000 0.000
0.000 0.000 0.000
0.500 0.500 0.500
```

=====

# 3
A relaxed Rb2AsO4 crystal, computed with PBE.

Results
ΔE_f (raw) (meV/atom): -1389

Geometry as POSCAR:
```
Rb2AsO4
1.0
6.325 0.000 0.000
0.000 6.384 0.000
-3.063 0.000 7.102
Rb As O
4 2 8
Direct
0.186 0.250 0.018
0.199 0.750 0.611
0.801 0.250 0.389
0.814 0.750 0.982
0.468 0.750 0.266
0.532 0.250 0.734
0.245 0.250 0.678
0.301 0.750 0.027
0.373 0.525 0.344
0.373 0.975 0.344
0.627 0.025 0.656
0.627 0.475 0.656
0.699 0.250 0.973
0.755 0.750 0.322
```